Record 1
Entry from Alexandria: crystalline AlTc2SbAu at its relaxed geometry (PBE).

a = 4.9454 Å, b = 4.9454 Å, c = 5.0159 Å
α = 90.00°, β = 90.00°, γ = 90.00°
With the nearest neighbours (Å) after each atom.
Sites, in units of the cell vectors:
Al1 0.0000 0.0000 0.0000  4 Au 3.50, 8 Tc 3.52
Tc1 0.0000 0.5000 0.5000  2 Sb 2.47
Tc2 0.5000 0.0000 0.5000  2 Sb 2.47
Sb1 0.5000 0.5000 0.5000  4 Tc 2.47, 2 Au 2.51
Au1 0.5000 0.5000 0.0000  2 Sb 2.51

## Properties
**Raw formation energy**: 1500 meV per atom
**E**: -4.87 eV per atom
**Density of states at the Fermi level**: 3.9 states/eV/cell

***

Record 2
Entry from Alexandria: crystalline AlTlSbAu3 at its relaxed geometry (PBE).

a = 7.0764 Å, b = 7.0764 Å, c = 6.9716 Å
α = 94.10°, β = 94.10°, γ = 123.13°
With the nearest neighbours (Å) after each atom.
Sites, in units of the cell vectors:
Al1 0.0205 0.9795 0.7500  5 Au 2.56-2.60
Al2 0.9795 0.0205 0.2500  5 Au 2.56-2.60
Tl1 0.2518 0.7482 0.2500  4 Au 2.98-3.03
Tl2 0.7482 0.2518 0.7500  4 Au 2.98-3.03
Sb1 0.4527 0.5473 0.7500  5 Au 2.78-2.86
Sb2 0.5473 0.4527 0.2500  5 Au 2.78-2.86
Au1 0.1358 0.3139 0.0118  2 Al 2.56-2.58, 2 Sb 2.84-2.86
Au2 0.2296 0.7704 0.7500  1 Al 2.60, 1 Sb 2.78
Au3 0.3139 0.1358 0.5118  2 Al 2.56-2.58, 2 Sb 2.84-2.86
Au4 0.6861 0.8642 0.4882  2 Al 2.56-2.58, 2 Sb 2.84-2.86
Au5 0.7704 0.2296 0.2500  1 Al 2.60, 1 Sb 2.78
Au6 0.8642 0.6861 0.9882  2 Al 2.56-2.58, 2 Sb 2.84-2.86

## Properties
**Raw formation energy**: -106 meV per atom
**E**: -3.45 eV per atom
**Density of states at the Fermi level**: 4.2 states/eV/cell

***

Record 3
Entry from Alexandria: crystalline AlSb2WAu at its relaxed geometry (PBE).

a = 5.3140 Å, b = 5.3140 Å, c = 5.2404 Å
α = 90.00°, β = 90.00°, γ = 90.00°
With the nearest neighbours (Å) after each atom.
Sites, in units of the cell vectors:
Al1 0.0000 0.0000 0.0000  8 Sb 3.73, 4 W 3.76
Sb1 0.0000 0.5000 0.5000  2 Au 2.66
Sb2 0.5000 0.0000 0.5000  2 Au 2.66
W1 0.5000 0.5000 0.0000  2 Au 2.62
Au1 0.5000 0.5000 0.5000  2 W 2.62, 4 Sb 2.66

## Properties
**Raw formation energy**: 1493 meV per atom
**E**: -4.15 eV per atom
**Density of states at the Fermi level**: 3.3 states/eV/cell

***

Record 4
Entry from Alexandria: crystalline Y2AlSbAu at its relaxed geometry (PBE).

a = 5.4987 Å, b = 5.4987 Å, c = 5.2384 Å
α = 90.00°, β = 90.00°, γ = 90.00°
With the nearest neighbours (Å) after each atom.
Sites, in units of the cell vectors:
Y1 0.0000 0.5000 0.0000  2 Au 2.75
Y2 0.5000 0.0000 0.0000  2 Au 2.75
Al1 0.0000 0.0000 0.5000  8 Y 3.80, 4 Sb 3.89
Sb1 0.5000 0.5000 0.5000  2 Au 2.62
Au1 0.5000 0.5000 0.0000  2 Sb 2.62, 4 Y 2.75

## Properties
**Raw formation energy**: 128 meV per atom
**E**: -4.69 eV per atom
**Density of states at the Fermi level**: 4.0 states/eV/cell

***

Record 5
Entry from Alexandria: crystalline ScAlAu2 at its relaxed geometry (PBE).

a = 3.6694 Å, b = 4.5630 Å, c = 8.7449 Å
α = 90.00°, β = 90.00°, γ = 90.00°
With the nearest neighbours (Å) after each atom.
Sites, in units of the cell vectors:
Sc1 0.0000 0.0000 0.0000  4 Al 2.92-3.11, 8 Au 2.94-3.07
Sc2 0.5000 0.5000 0.5000  4 Al 2.92-3.11, 8 Au 2.94-3.07
Al1 0.0000 0.5000 0.7591  2 Au 2.61, 2 Sc 2.92
Al2 0.5000 0.0000 0.2591  2 Au 2.61, 2 Sc 2.92
Au1 0.0000 0.0000 0.4709  2 Al 2.61
Au2 0.0000 0.5000 0.2351  4 Al 2.94, 4 Au 2.95-3.08, 4 Sc 2.96-3.07
Au3 0.5000 0.0000 0.7351  4 Al 2.94, 4 Au 2.95-3.08, 4 Sc 2.96-3.07
Au4 0.5000 0.5000 0.9709  2 Al 2.61

## Properties
**E**: -4.70 eV per atom
**Density of states at the Fermi level**: 2.7 states/eV/cell

***

Record 6
Entry from Alexandria: crystalline ScAl2Au at its relaxed geometry (PBE).

a = 5.7563 Å, b = 9.7149 Å, c = 3.0126 Å
α = 90.00°, β = 119.11°, γ = 90.00°
With the nearest neighbours (Å) after each atom.
Sites, in units of the cell vectors:
Sc1 0.0000 0.0000 0.0000  4 Al 2.85, 4 Au 2.88-2.99, 2 Sc 3.01
Sc2 0.5000 0.5000 0.0000  4 Al 2.85, 4 Au 2.88-2.99, 2 Sc 3.01
Al1 0.2500 0.2500 0.5000  2 Sc 2.85, 2 Au 2.85, 6 Al 2.88-3.01
Al2 0.2500 0.7500 0.5000  2 Sc 2.85, 2 Au 2.85, 6 Al 2.88-3.01
Al3 0.7500 0.2500 0.5000  2 Sc 2.85, 2 Au 2.85, 6 Al 2.88-3.01
Al4 0.7500 0.7500 0.5000  2 Sc 2.85, 2 Au 2.85, 6 Al 2.88-3.01
Au1 0.0000 0.5000 0.0000  4 Al 2.85, 4 Sc 2.88-2.99, 2 Au 3.01
Au2 0.5000 0.0000 0.0000  4 Al 2.85, 4 Sc 2.88-2.99, 2 Au 3.01

## Properties
**E**: -4.57 eV per atom
**Density of states at the Fermi level**: 4.7 states/eV/cell

***

Record 7
Entry from Alexandria: crystalline Sc2Al5Au3 at its relaxed geometry (PBE).

a = 8.5068 Å, b = 8.5068 Å, c = 8.5068 Å
α = 98.38°, β = 95.45°, γ = 139.41°
With the nearest neighbours (Å) after each atom.
Sites, in units of the cell vectors:
Sc1 0.1311 0.2364 0.3675  8 Al 3.07-3.37, 4 Au 3.09-3.19
Sc2 0.3689 0.7364 0.1054  8 Al 3.07-3.37, 4 Au 3.09-3.19
Sc3 0.6311 0.2636 0.8946  8 Al 3.07-3.37, 4 Au 3.09-3.19
Sc4 0.8689 0.7636 0.6325  8 Al 3.07-3.37, 4 Au 3.09-3.19
Al1 0.0071 0.7500 0.2571  3 Au 2.56-2.78, 2 Al 2.66
Al2 0.1128 0.6479 0.7607  3 Au 2.42-2.56, 2 Al 2.66
Al3 0.2500 0.2500 0.0000  4 Au 2.58
Al4 0.3872 0.1479 0.5351  3 Au 2.42-2.56, 2 Al 2.66
Al5 0.4929 0.7500 0.7429  3 Au 2.56-2.78, 2 Al 2.66
Al6 0.5071 0.2500 0.2571  3 Au 2.56-2.78, 2 Al 2.66
Al7 0.6128 0.8521 0.4649  3 Au 2.42-2.56, 2 Al 2.66
Al8 0.7500 0.7500 0.0000  4 Au 2.58
Al9 0.8872 0.3521 0.2393  3 Au 2.42-2.56, 2 Al 2.66
Al10 0.9929 0.2500 0.7429  3 Au 2.56-2.78, 2 Al 2.66
Au1 0.1297 0.8647 0.9944  5 Al 2.42-2.58
Au2 0.2500 0.7500 0.5000  6 Al 2.56-2.78
Au3 0.3703 0.3647 0.7350  5 Al 2.42-2.58
Au4 0.6297 0.6353 0.2650  5 Al 2.42-2.58
Au5 0.7500 0.2500 0.5000  6 Al 2.56-2.78
Au6 0.8703 0.1353 0.0056  5 Al 2.42-2.58

## Properties
**E**: -4.64 eV per atom
**Density of states at the Fermi level**: 9.7 states/eV/cell

***

Record 8
Entry from Alexandria: crystalline Sc2AlAu at its relaxed geometry (PBE).

a = 4.2117 Å, b = 4.2117 Å, c = 19.6265 Å
α = 90.00°, β = 90.00°, γ = 90.00°
With the nearest neighbours (Å) after each atom.
Sites, in units of the cell vectors:
Sc1 0.2474 0.2500 0.1250  2 Al 2.87, 2 Au 2.87, 4 Sc 2.96-2.99
Sc2 0.2500 0.7474 0.3750  2 Al 2.87, 2 Au 2.87, 4 Sc 2.96-2.99
Sc3 0.2500 0.7526 0.8750  2 Al 2.87, 2 Au 2.87, 4 Sc 2.96-2.99
Sc4 0.2526 0.2500 0.6250  2 Al 2.87, 2 Au 2.87, 4 Sc 2.96-2.99
Sc5 0.7474 0.7500 0.6250  2 Al 2.87, 2 Au 2.87, 4 Sc 2.96-2.99
Sc6 0.7500 0.2474 0.8750  2 Al 2.87, 2 Au 2.87, 4 Sc 2.96-2.99
Sc7 0.7500 0.2526 0.3750  2 Al 2.87, 2 Au 2.87, 4 Sc 2.96-2.99
Sc8 0.7526 0.7500 0.1250  2 Al 2.87, 2 Au 2.87, 4 Sc 2.96-2.99
Al1 0.0000 0.0000 0.0000  4 Sc 2.87, 4 Au 2.98
Al2 0.0000 0.5000 0.2500  4 Sc 2.87, 4 Au 2.98
Al3 0.5000 0.0000 0.7500  4 Sc 2.87, 4 Au 2.98
Al4 0.5000 0.5000 0.5000  4 Sc 2.87, 4 Au 2.98
Au1 0.0000 0.0000 0.5000  4 Sc 2.87, 4 Al 2.98
Au2 0.0000 0.5000 0.7500  4 Sc 2.87, 4 Al 2.98
Au3 0.5000 0.0000 0.2500  4 Sc 2.87, 4 Al 2.98
Au4 0.5000 0.5000 0.0000  4 Sc 2.87, 4 Al 2.98

## Properties
**E**: -4.95 eV per atom
**Density of states at the Fermi level**: 17.4 states/eV/cell

***

Record 9
Entry from Alexandria: crystalline Sc2AlAu at its relaxed geometry (PBE).

a = 3.3305 Å, b = 3.3305 Å, c = 26.3185 Å
α = 90.00°, β = 90.00°, γ = 120.00°
With the nearest neighbours (Å) after each atom.
Sites, in units of the cell vectors:
Sc1 0.0000 0.0000 0.2491  3 Au 2.90, 3 Al 2.93
Sc2 0.0000 0.0000 0.7509  3 Au 2.90, 3 Al 2.93
Sc3 0.3333 0.6667 0.4175  3 Au 2.90, 3 Al 2.93
Sc4 0.3333 0.6667 0.9158  3 Au 2.90, 3 Al 2.93
Sc5 0.6667 0.3333 0.0842  3 Au 2.90, 3 Al 2.93
Sc6 0.6667 0.3333 0.5825  3 Au 2.90, 3 Al 2.93
Al1 0.0000 0.0000 0.0000  6 Sc 2.93
Al2 0.3333 0.6667 0.6667  6 Sc 2.93
Al3 0.6667 0.3333 0.3333  6 Sc 2.93
Au1 0.0000 0.0000 0.5000  6 Sc 2.90
Au2 0.3333 0.6667 0.1667  6 Sc 2.90
Au3 0.6667 0.3333 0.8333  6 Sc 2.90

## Properties
**E**: -5.28 eV per atom
**Density of states at the Fermi level**: 14.9 states/eV/cell

***

Record 10
Entry from Alexandria: crystalline ScAlAu3 at its relaxed geometry (PBE).

a = 4.8981 Å, b = 4.9353 Å, c = 7.7903 Å
α = 88.13°, β = 71.75°, γ = 89.79°
With the nearest neighbours (Å) after each atom.
Sites, in units of the cell vectors:
Sc1 0.1484 0.2680 0.2022  9 Au 2.83-3.00, 1 Al 3.12
Sc2 0.8516 0.7320 0.7978  9 Au 2.83-3.00, 1 Al 3.12
Al1 0.3597 0.2529 0.7816  8 Au 2.73-2.95
Al2 0.6403 0.7471 0.2184  8 Au 2.73-2.95
Au1 0.0539 0.7568 0.3921  2 Al 2.77, 3 Sc 2.83-3.00, 5 Au 2.91-2.95
Au2 0.2508 0.7833 0.9992  3 Al 2.78-2.95, 4 Sc 2.87-2.91, 2 Au 2.91-2.93
Au3 0.4477 0.7467 0.6052  3 Al 2.73-2.86, 2 Sc 2.83, 5 Au 2.90-2.93
Au4 0.5523 0.2533 0.3948  3 Al 2.73-2.86, 2 Sc 2.83, 5 Au 2.90-2.93
Au5 0.7492 0.2167 0.0008  3 Al 2.78-2.95, 4 Sc 2.87-2.91, 2 Au 2.91-2.93
Au6 0.9461 0.2432 0.6079  2 Al 2.77, 3 Sc 2.83-3.00, 5 Au 2.91-2.95

## Properties
**E**: -4.60 eV per atom
**Density of states at the Fermi level**: 2.6 states/eV/cell

***

Record 11
Entry from Alexandria: crystalline ScAlAu2 at its relaxed geometry (PBE).

a = 3.4918 Å, b = 3.5773 Å, c = 5.9605 Å
α = 90.00°, β = 90.00°, γ = 90.00°
With the nearest neighbours (Å) after each atom.
Sites, in units of the cell vectors:
Sc1 0.0000 0.0000 0.0000  6 Au 2.81-3.08, 4 Al 3.15
Al1 0.5000 0.5000 0.3203  5 Au 2.68-2.76
Au1 0.0000 0.0000 0.4824  4 Al 2.68, 1 Sc 2.88
Au2 0.5000 0.5000 0.7838  1 Al 2.76, 4 Sc 2.81, 4 Au 3.08

## Properties
**E**: -4.69 eV per atom
**Density of states at the Fermi level**: 1.7 states/eV/cell

***

Record 12
Entry from Alexandria: crystalline Sc2AlAu at its relaxed geometry (PBE).

a = 3.4403 Å, b = 4.4009 Å, c = 5.6322 Å
α = 90.00°, β = 107.65°, γ = 90.00°
With the nearest neighbours (Å) after each atom.
Sites, in units of the cell vectors:
Sc1 0.0000 0.0000 0.0000  3 Au 2.89-3.02, 4 Al 2.93
Sc2 0.3089 0.5000 0.6195  3 Al 2.91-3.00, 4 Au 2.92
Al1 0.5808 0.5000 0.1622  2 Au 2.73, 7 Sc 2.91-3.00
Au1 0.7300 0.0000 0.4618  2 Al 2.73, 7 Sc 2.89-3.02

## Properties
**E**: -5.53 eV per atom
**Density of states at the Fermi level**: 3.6 states/eV/cell

***

Record 13
Entry from Alexandria: crystalline ScAl2Au8 at its relaxed geometry (PBE).

a = 4.8593 Å, b = 5.1892 Å, c = 8.1336 Å
α = 84.85°, β = 89.12°, γ = 85.34°
With the nearest neighbours (Å) after each atom.
Sites, in units of the cell vectors:
Sc1 0.0000 0.0000 0.0000  10 Au 2.79-3.02
Al1 0.2843 0.8652 0.6446  7 Au 2.60-2.79
Al2 0.7157 0.1348 0.3554  7 Au 2.60-2.79
Au1 0.0366 0.5116 0.8227  1 Al 2.60, 3 Au 2.87-2.90
Au2 0.2365 0.8850 0.3181  3 Al 2.66-2.79, 1 Sc 2.84, 4 Au 2.87-2.97
Au3 0.2643 0.3468 0.5056  2 Al 2.64-2.70, 4 Au 2.89-2.96
Au4 0.4850 0.2466 0.0679  1 Al 2.61, 4 Au 2.77-2.92, 2 Sc 2.79-2.86
Au5 0.5150 0.7534 0.9321  1 Al 2.61, 4 Au 2.77-2.92, 2 Sc 2.79-2.86
Au6 0.7357 0.6532 0.4944  2 Al 2.64-2.70, 4 Au 2.89-2.96
Au7 0.7635 0.1150 0.6819  3 Al 2.66-2.79, 1 Sc 2.84, 4 Au 2.87-2.97
Au8 0.9634 0.4884 0.1773  1 Al 2.60, 3 Au 2.87-2.90

## Properties
**E**: -3.98 eV per atom
**Density of states at the Fermi level**: 4.1 states/eV/cell